# 1
Computed, not measured: a relaxed structure of Tb8InTc2 at the PBE level of DFT.

Lattice parameters (Å, degrees): 5.390 6.935 9.064 112.41 107.30 90.02
Fractional positions:
Tb (0.000, 0.000, 0.000)
Tb (0.039, 0.508, 0.078)
Tb (0.221, 0.357, 0.442)
Tb (0.330, 0.914, 0.658)
Tb (0.439, 0.576, 0.877)
Tb (0.620, 0.090, 0.241)
Tb (0.660, 0.660, 0.318)
Tb (0.831, 0.181, 0.661)
In (0.830, 0.618, 0.659)
Tc (0.165, 0.936, 0.330)
Tc (0.493, 0.265, 0.986)

Computed properties:
energy of formation from the pure elements	-9	kJ/mol of atoms
density of states at the Fermi level	0.587	states/eV/atom

# 2
Computed, not measured: a relaxed structure of DyZrScTi at the PBE level of DFT.

Lattice parameters (Å, degrees): 5.118 5.118 5.118 60.00 60.00 60.00
Fractional positions:
Dy (0.000, 0.000, 0.000)
Zr (0.500, 0.500, 0.500)
Sc (0.250, 0.250, 0.250)
Ti (0.750, 0.750, 0.750)

Computed properties:
energy of formation from the pure elements	19	kJ/mol of atoms
density of states at the Fermi level	1.674	states/eV/atom

# 3
Computed, not measured: a relaxed structure of Mg2PbO4 at the PBE level of DFT.

Lattice parameters (Å, degrees): 5.288 10.267 3.213 90.00 90.00 90.00
Fractional positions:
Mg (0.022, 0.214, 0.000)
Mg (0.478, 0.714, 0.000)
Mg (0.522, 0.286, 0.000)
Mg (0.978, 0.786, 0.000)
Pb (0.000, 0.500, 0.500)
Pb (0.500, 0.000, 0.500)
O (0.211, 0.401, 0.000)
O (0.231, 0.677, 0.500)
O (0.269, 0.177, 0.500)
O (0.289, 0.901, 0.000)
O (0.711, 0.099, 0.000)
O (0.731, 0.823, 0.500)
O (0.769, 0.323, 0.500)
O (0.789, 0.599, 0.000)

Computed properties:
energy relative to the elements, uncorrected	-1860	meV per atom

# 4
Computed, not measured: a relaxed structure of LiPd2Pb2 at the PBE level of DFT.

Lattice parameters (Å, degrees): 5.587 4.647 8.674 90.00 107.97 90.00
Fractional positions:
Li (0.046, 0.250, 0.247)
Li (0.954, 0.750, 0.753)
Pd (0.117, 0.750, 0.427)
Pd (0.230, 0.750, 0.115)
Pd (0.770, 0.250, 0.885)
Pd (0.883, 0.250, 0.573)
Pb (0.282, 0.250, 0.944)
Pb (0.383, 0.250, 0.593)
Pb (0.617, 0.750, 0.407)
Pb (0.718, 0.750, 0.056)

Computed properties:
energy of formation from the pure elements	-29	kJ/mol of atoms
density of states at the Fermi level	0.284	states/eV/atom